# 1
DFT (PBE) results for crystalline Pm2SmTlN at its relaxed geometry.

a = 4.9931 Å, b = 4.9931 Å, c = 4.9633 Å
α = 90.00°, β = 90.00°, γ = 90.00°
With the nearest neighbours (Å) after each atom.
Positions (direct):
Pm  0.0000  0.5000  0.0000  2 N 2.50
Pm  0.5000  0.0000  0.0000  2 N 2.50
Sm  0.0000  0.0000  0.5000  2 N 2.48
Tl  0.5000  0.5000  0.5000  8 Pm 3.52, 4 Sm 3.53
N  0.0000  0.0000  0.0000  2 Sm 2.48, 4 Pm 2.50

Calculated values
Space group ... P4/mmm, No. 123
Density ... 8.8 g/cm³
Crystal system ... tetragonal
Size of the total moment ... 0.000 μB per atom
E ... -29.17 eV for the cell shown
Calculated volume ... 124 Å³/cell

# 2
DFT (PBE) results for crystalline Pm2SmTmN4 at its relaxed geometry.

a = 6.1590 Å, b = 3.5575 Å, c = 6.1602 Å
α = 90.00°, β = 109.41°, γ = 90.00°
With the nearest neighbours (Å) after each atom.
Positions (direct):
Pm  0.0000  0.0000  0.0000  6 N 2.56
Pm  0.5000  0.5000  0.0000  6 N 2.52
Sm  0.0000  0.5000  0.5000  6 N 2.51
Tm  0.5000  0.0000  0.5000  6 N 2.47
N  0.2532  0.0000  0.7447  1 Tm 2.47, 2 Sm 2.51, 3 Pm 2.52-2.56
N  0.2578  0.5000  0.2588  2 Tm 2.47, 1 Sm 2.51, 3 Pm 2.52-2.56
N  0.7422  0.5000  0.7412  2 Tm 2.47, 1 Sm 2.51, 3 Pm 2.52-2.56
N  0.7468  0.0000  0.2553  1 Tm 2.47, 2 Sm 2.51, 3 Pm 2.52-2.56

Calculated values
Space group ... P2/m, No. 10
Density ... 8.7 g/cm³
Crystal system ... monoclinic
Size of the total moment ... 0.000 μB per atom
E ... -64.16 eV for the cell shown
Calculated volume ... 127 Å³/cell

# 3
DFT (PBE) results for crystalline Pm4SmU3N8 at its relaxed geometry.

a = 7.0694 Å, b = 7.0694 Å, c = 7.0694 Å
α = 59.75°, β = 59.75°, γ = 59.75°
With the nearest neighbours (Å) after each atom.
Positions (direct):
Pm  0.0000  0.0000  0.0000  6 N 2.51
Pm  0.0000  0.5000  0.5000  6 N 2.62-2.66
Pm  0.5000  0.0000  0.5000  6 N 2.62-2.66
Pm  0.5000  0.5000  0.0000  6 N 2.62-2.66
Sm  0.5000  0.5000  0.5000  6 N 2.50
U  0.0000  0.0000  0.5000  6 N 2.34-2.38
U  0.0000  0.5000  0.0000  6 N 2.34-2.38
U  0.5000  0.0000  0.0000  6 N 2.34-2.38
N  0.2180  0.7493  0.7493  2 U 2.34, 1 Sm 2.50, 1 Pm 2.51
N  0.2378  0.2378  0.2378  3 U 2.38, 3 Pm 2.62
N  0.2507  0.2507  0.7820  2 U 2.34, 1 Sm 2.50, 1 Pm 2.51
N  0.2507  0.7820  0.2507  2 U 2.34, 1 Sm 2.50, 1 Pm 2.51
N  0.7493  0.2180  0.7493  2 U 2.34, 1 Sm 2.50, 1 Pm 2.51
N  0.7493  0.7493  0.2180  2 U 2.34, 1 Sm 2.50, 1 Pm 2.51
N  0.7622  0.7622  0.7622  3 U 2.38, 3 Pm 2.62
N  0.7820  0.2507  0.2507  2 U 2.34, 1 Sm 2.50, 1 Pm 2.51

Calculated values
Space group ... R-3m, No. 166
Density ... 10.4 g/cm³
Crystal system ... trigonal
Size of the total moment ... 0.109 μB per atom
E ... -147.39 eV for the cell shown
Calculated volume ... 248 Å³/cell